# CdReRh2 PBE optimized geometry
data_CdReRh2
_chemical_formula_sum 'Cd4 Re4 Rh8'
_cell_length_a 7.1921
_cell_length_b 7.1921
_cell_length_c 5.5801
_cell_angle_alpha 90.00
_cell_angle_beta 90.00
_cell_angle_gamma 90.00
_symmetry_space_group_name_H-M 'I -4 2 d'
_symmetry_Int_Tables_number 122
_symmetry_space_group_name_Hall 'I -4 2bw'
loop_
_atom_site_label
_atom_site_fract_x
_atom_site_fract_y
_atom_site_fract_z
Cd1 0.0000 0.0000 0.0000
Re1 0.0000 0.0000 0.5000
Rh1 0.2021 0.2500 0.6250
# Crystal system   tetragonal
# Uncorrected energy   -0.4722 Ry/atom
# Mass density   11.6 g cm⁻³
# Volume   288.64 Å³/cell



# CdRe2RuRh PBE optimized geometry
data_CdRe2RuRh
_chemical_formula_sum 'Cd1 Re2 Ru1 Rh1'
_cell_length_a 4.7561
_cell_length_b 4.7561
_cell_length_c 4.6767
_cell_angle_alpha 90.00
_cell_angle_beta 90.00
_cell_angle_gamma 90.00
_symmetry_space_group_name_H-M 'P 4/m m m'
_symmetry_Int_Tables_number 123
_symmetry_space_group_name_Hall '-P 4 2'
loop_
_atom_site_label
_atom_site_fract_x
_atom_site_fract_y
_atom_site_fract_z
Cd1 0.0000 0.0000 0.0000
Re1 0.0000 0.5000 0.0000
Ru1 0.0000 0.0000 0.5000
Rh1 0.5000 0.5000 0.5000
# Crystal system   tetragonal
# Uncorrected energy   -0.3972 Ry/atom
# Mass density   10.8 g cm⁻³
# Volume   105.79 Å³/cell



# CdReRh2S PBE optimized geometry
data_CdReRh2S
_chemical_formula_sum 'Cd1 Re1 Rh2 S1'
_cell_length_a 4.6504
_cell_length_b 4.6504
_cell_length_c 5.2876
_cell_angle_alpha 90.00
_cell_angle_beta 90.00
_cell_angle_gamma 90.00
_symmetry_space_group_name_H-M 'P 4/m m m'
_symmetry_Int_Tables_number 123
_symmetry_space_group_name_Hall '-P 4 2'
loop_
_atom_site_label
_atom_site_fract_x
_atom_site_fract_y
_atom_site_fract_z
Cd1 0.0000 0.0000 0.0000
Re1 0.0000 0.0000 0.5000
Rh1 0.0000 0.5000 0.5000
S1 0.5000 0.5000 0.0000
# Crystal system   tetragonal
# Uncorrected energy   -0.3752 Ry/atom
# Mass density   7.8 g cm⁻³
# Volume   114.35 Å³/cell
# Formation energy from raw total energies   1.33 eV per atom



# CdReSbRh2 PBE optimized geometry
data_CdReSbRh2
_chemical_formula_sum 'Cd1 Re1 Sb1 Rh2'
_cell_length_a 4.8146
_cell_length_b 4.8146
_cell_length_c 5.1558
_cell_angle_alpha 90.00
_cell_angle_beta 90.00
_cell_angle_gamma 90.00
_symmetry_space_group_name_H-M 'P 4/m m m'
_symmetry_Int_Tables_number 123
_symmetry_space_group_name_Hall '-P 4 2'
loop_
_atom_site_label
_atom_site_fract_x
_atom_site_fract_y
_atom_site_fract_z
Cd1 0.0000 0.0000 0.0000
Re1 0.5000 0.5000 0.0000
Sb1 0.0000 0.0000 0.5000
Rh1 0.0000 0.5000 0.5000
# Crystal system   tetragonal
# Uncorrected energy   -0.3500 Ry/atom
# Mass density   8.7 g cm⁻³
# Volume   119.51 Å³/cell
# Formation energy from raw total energies   1.68 eV per atom



# CdRe2SiRh PBE optimized geometry
data_CdRe2SiRh
_chemical_formula_sum 'Cd1 Re2 Si1 Rh1'
_cell_length_a 4.8971
_cell_length_b 4.8971
_cell_length_c 4.7954
_cell_angle_alpha 90.00
_cell_angle_beta 90.00
_cell_angle_gamma 90.00
_symmetry_space_group_name_H-M 'P 4/m m m'
_symmetry_Int_Tables_number 123
_symmetry_space_group_name_Hall '-P 4 2'
loop_
_atom_site_label
_atom_site_fract_x
_atom_site_fract_y
_atom_site_fract_z
Cd1 0.0000 0.0000 0.0000
Re1 0.0000 0.5000 0.0000
Si1 0.5000 0.5000 0.5000
Rh1 0.0000 0.0000 0.5000
# Crystal system   tetragonal
# Uncorrected energy   -0.3603 Ry/atom
# Mass density   8.9 g cm⁻³
# Volume   115.00 Å³/cell
# Formation energy from raw total energies   2.82 eV per atom



# Cd2ReSnRh PBE optimized geometry
data_Cd2ReSnRh
_chemical_formula_sum 'Cd2 Re1 Sn1 Rh1'
_cell_length_a 5.0791
_cell_length_b 5.0791
_cell_length_c 4.9534
_cell_angle_alpha 90.00
_cell_angle_beta 90.00
_cell_angle_gamma 90.00
_symmetry_space_group_name_H-M 'P 4/m m m'
_symmetry_Int_Tables_number 123
_symmetry_space_group_name_Hall '-P 4 2'
loop_
_atom_site_label
_atom_site_fract_x
_atom_site_fract_y
_atom_site_fract_z
Cd1 0.0000 0.5000 0.0000
Re1 0.0000 0.0000 0.5000
Sn1 0.5000 0.5000 0.5000
Rh1 0.5000 0.5000 0.0000
# Crystal system   tetragonal
# Uncorrected energy   -0.2930 Ry/atom
# Mass density   8.2 g cm⁻³
# Volume   127.79 Å³/cell



# Ti2CdReRh PBE optimized geometry
data_Ti2CdReRh
_chemical_formula_sum 'Ti2 Cd1 Re1 Rh1'
_cell_length_a 4.6209
_cell_length_b 4.6209
_cell_length_c 5.1254
_cell_angle_alpha 90.00
_cell_angle_beta 90.00
_cell_angle_gamma 90.00
_symmetry_space_group_name_H-M 'P 4/m m m'
_symmetry_Int_Tables_number 123
_symmetry_space_group_name_Hall '-P 4 2'
loop_
_atom_site_label
_atom_site_fract_x
_atom_site_fract_y
_atom_site_fract_z
Ti1 0.0000 0.5000 0.0000
Cd1 0.0000 0.0000 0.5000
Re1 0.0000 0.0000 0.0000
Rh1 0.5000 0.5000 0.5000
# Crystal system   tetragonal
# Uncorrected energy   -0.4675 Ry/atom
# Mass density   7.5 g cm⁻³
# Volume   109.44 Å³/cell



# CdRe2Ru PBE optimized geometry
data_CdRe2Ru
_chemical_formula_sum 'Cd2 Re4 Ru2'
_cell_length_a 9.3516
_cell_length_b 2.7879
_cell_length_c 4.9716
_cell_angle_alpha 90.00
_cell_angle_beta 100.63
_cell_angle_gamma 90.00
_symmetry_space_group_name_H-M 'C 1 m 1'
_symmetry_Int_Tables_number 8
loop_
_symmetry_equiv_pos_as_xyz
'x,y,z'
'x,-y,z'
'x+1/2,y+1/2,z'
'x+1/2,-y+1/2,z'
loop_
_atom_site_label
_atom_site_fract_x
_atom_site_fract_y
_atom_site_fract_z
Cd1 0.0000 0.0000 0.0000
Re1 0.2347 0.0000 0.7022
Re2 0.4911 0.0000 0.4989
Ru1 0.2619 0.5000 0.2600
# Crystal system   monoclinic
# Uncorrected energy   -0.6127 Ry/atom
# Mass density   15.3 g cm⁻³
# Volume   127.39 Å³/cell



# Cd2ReRu PBE optimized geometry
data_Cd2ReRu
_chemical_formula_sum 'Cd2 Re1 Ru1'
_cell_length_a 3.8869
_cell_length_b 3.8869
_cell_length_c 4.5320
_cell_angle_alpha 90.00
_cell_angle_beta 90.00
_cell_angle_gamma 90.00
_symmetry_space_group_name_H-M 'P 4/m m m'
_symmetry_Int_Tables_number 123
_symmetry_space_group_name_Hall '-P 4 2'
loop_
_atom_site_label
_atom_site_fract_x
_atom_site_fract_y
_atom_site_fract_z
Cd1 0.0000 0.5000 0.0000
Re1 0.0000 0.0000 0.5000
Ru1 0.5000 0.5000 0.5000
# Crystal system   tetragonal
# Uncorrected energy   -0.3800 Ry/atom
# Mass density   12.4 g cm⁻³
# Volume   68.47 Å³/cell



# Cd2ReRu PBE optimized geometry
data_Cd2ReRu
_chemical_formula_sum 'Cd2 Re1 Ru1'
_cell_length_a 2.8408
_cell_length_b 4.4957
_cell_length_c 5.3684
_cell_angle_alpha 90.00
_cell_angle_beta 90.00
_cell_angle_gamma 90.00
_symmetry_space_group_name_H-M 'P m m m'
_symmetry_Int_Tables_number 47
loop_
_symmetry_equiv_pos_as_xyz
'x,y,z'
'-x,-y,-z'
'-x,-y,z'
'x,y,-z'
'x,-y,-z'
'-x,y,z'
'-x,y,-z'
'x,-y,z'
loop_
_atom_site_label
_atom_site_fract_x
_atom_site_fract_y
_atom_site_fract_z
Cd1 0.0000 0.0000 0.2485
Re1 0.5000 0.5000 0.5000
Ru1 0.5000 0.5000 0.0000
# Crystal system   orthorhombic
# Uncorrected energy   -0.3820 Ry/atom
# Mass density   12.4 g cm⁻³
# Volume   68.56 Å³/cell



# CdRe2Ru PBE optimized geometry
data_CdRe2Ru
_chemical_formula_sum 'Cd3 Re6 Ru3'
_cell_length_a 2.7978
_cell_length_b 2.7978
_cell_length_c 28.0449
_cell_angle_alpha 90.00
_cell_angle_beta 90.00
_cell_angle_gamma 120.00
_symmetry_space_group_name_H-M 'R -3 m'
_symmetry_Int_Tables_number 166
_symmetry_space_group_name_Hall '-R 3 2"'
loop_
_atom_site_label
_atom_site_fract_x
_atom_site_fract_y
_atom_site_fract_z
Cd1 0.0000 0.0000 0.0000
Re1 0.0000 0.0000 0.2425
Ru1 0.0000 0.0000 0.5000
# Crystal system   trigonal
# Uncorrected energy   -0.6231 Ry/atom
# Mass density   15.4 g cm⁻³
# Volume   190.12 Å³/cell



# CdRe2Ru PBE optimized geometry
data_CdRe2Ru
_chemical_formula_sum 'Cd1 Re2 Ru1'
_cell_length_a 2.8144
_cell_length_b 2.8144
_cell_length_c 8.0418
_cell_angle_alpha 90.00
_cell_angle_beta 90.00
_cell_angle_gamma 90.00
_symmetry_space_group_name_H-M 'P 4 m m'
_symmetry_Int_Tables_number 99
loop_
_symmetry_equiv_pos_as_xyz
'x,y,z'
'-y,x,z'
'-x,-y,z'
'y,-x,z'
'-x,y,z'
'y,x,z'
'x,-y,z'
'-y,-x,z'
loop_
_atom_site_label
_atom_site_fract_x
_atom_site_fract_y
_atom_site_fract_z
Cd1 0.0000 0.0000 0.0000
Re1 0.0000 0.0000 0.5140
Re2 0.5000 0.5000 0.2793
Ru1 0.5000 0.5000 0.7319
# Crystal system   tetragonal
# Uncorrected energy   -0.6248 Ry/atom
# Mass density   15.3 g cm⁻³
# Volume   63.70 Å³/cell



# Cd2ReRu PBE optimized geometry
data_Cd2ReRu
_chemical_formula_sum 'Cd4 Re2 Ru2'
_cell_length_a 9.0878
_cell_length_b 2.8766
_cell_length_c 5.2964
_cell_angle_alpha 90.00
_cell_angle_beta 97.75
_cell_angle_gamma 90.00
_symmetry_space_group_name_H-M 'C 1 m 1'
_symmetry_Int_Tables_number 8
loop_
_symmetry_equiv_pos_as_xyz
'x,y,z'
'x,-y,z'
'x+1/2,y+1/2,z'
'x+1/2,-y+1/2,z'
loop_
_atom_site_label
_atom_site_fract_x
_atom_site_fract_y
_atom_site_fract_z
Cd1 0.0000 0.0000 0.0000
Cd2 0.2436 0.0000 0.7627
Re1 0.4905 0.0000 0.4677
Ru1 0.2502 0.5000 0.2984
# Crystal system   monoclinic
# Uncorrected energy   -0.3990 Ry/atom
# Mass density   12.4 g cm⁻³
# Volume   137.19 Å³/cell



# Cd2ReRu PBE optimized geometry
data_Cd2ReRu
_chemical_formula_sum 'Cd6 Re3 Ru3'
_cell_length_a 2.8540
_cell_length_b 2.8540
_cell_length_c 30.0604
_cell_angle_alpha 90.00
_cell_angle_beta 90.00
_cell_angle_gamma 120.00
_symmetry_space_group_name_H-M 'R 3 m'
_symmetry_Int_Tables_number 160
_symmetry_space_group_name_Hall 'R 3 -2"'
loop_
_atom_site_label
_atom_site_fract_x
_atom_site_fract_y
_atom_site_fract_z
Cd1 0.0000 0.0000 0.0000
Cd2 0.0000 0.0000 0.2339
Re1 0.0000 0.0000 0.7517
Ru1 0.0000 0.0000 0.4844
# Crystal system   trigonal
# Uncorrected energy   -0.4183 Ry/atom
# Mass density   12.0 g cm⁻³
# Volume   212.05 Å³/cell



# Cd2ReRu PBE optimized geometry
data_Cd2ReRu
_chemical_formula_sum 'Cd4 Re2 Ru2'
_cell_length_a 2.9536
_cell_length_b 4.7231
_cell_length_c 9.7536
_cell_angle_alpha 90.00
_cell_angle_beta 90.00
_cell_angle_gamma 90.00
_symmetry_space_group_name_H-M 'I m m m'
_symmetry_Int_Tables_number 71
_symmetry_space_group_name_Hall '-I 2 2'
loop_
_atom_site_label
_atom_site_fract_x
_atom_site_fract_y
_atom_site_fract_z
Cd1 0.0000 0.0000 0.2445
Re1 0.0000 0.5000 0.0000
Ru1 0.0000 0.5000 0.5000
# Crystal system   orthorhombic
# Uncorrected energy   -0.3876 Ry/atom
# Mass density   12.5 g cm⁻³
# Volume   136.06 Å³/cell